LiCaPmGd | Alexandria via LeMat-Bulk | PBE-GGA | relaxed; DFT formation energy = 20 kJ per mole of atoms; E_tot = -21.90 eV/f.u.; M_tot = 1.894 μB/atom; space-group type = F-43m, No. 216
1.0
-1.868 -5.267 0.965
3.553 -3.950 1.982
-0.541 -1.887 5.320
Ca Gd Li Pm
1 1 1 1
direct
0.250 0.250 0.250
0.500 0.500 0.500
0.000 0.000 0.000
0.750 0.750 0.750